# SmYSc4

A relaxed structure of SmYSc4 (PBE, Alexandria via LeMat-Bulk).

Structure (POSCAR):
```
SmYSc4
1.0
3.2887 -9.2649 0.0000
3.2887 9.2649 0.0000
-0.0032 0.0000 5.3385
Sm Y Sc
2 2 8
Direct
0.1237 0.8763 0.7500
0.8763 0.1237 0.2500
0.3738 0.6262 0.2500
0.6262 0.3738 0.7500
0.0422 0.4590 0.7500
0.2106 0.2941 0.7510
0.2941 0.2106 0.2510
0.4590 0.0422 0.2500
0.5410 0.9578 0.7500
0.7059 0.7894 0.7490
0.7894 0.7059 0.2490
0.9578 0.5410 0.2500
```

Output
ΔH_f (0 K) = 0.4 eV per formula unit
calculated volume = 325.3 Å³ per cell
total DFT energy (no corrections) = -6.017 eV per atom
space group = C2/c

# Sm5Y5Sc2

A relaxed structure of Sm5Y5Sc2 (PBE, Alexandria via LeMat-Bulk).

Structure (POSCAR):
```
Sm5Y5Sc2
1.0
7.5471 -2.5148 0.0000
7.5471 2.5148 0.0000
-5.0174 0.0000 9.9461
Sm Y Sc
5 5 2
Direct
0.0000 0.0000 0.0000
0.0809 0.0809 0.7432
0.2509 0.2509 0.2586
0.7491 0.7491 0.7414
0.9191 0.9191 0.2568
0.3338 0.3338 0.0013
0.4124 0.4124 0.7413
0.5000 0.5000 0.5000
0.5876 0.5876 0.2587
0.6662 0.6662 0.9987
0.1690 0.1690 0.4998
0.8310 0.8310 0.5002
```

Output
ΔH_f (0 K) = 0.5 eV per formula unit
calculated volume = 377.6 Å³ per cell
total DFT energy (no corrections) = -5.677 eV per atom
space group = C2/m

# Sm4YSc4

A relaxed structure of Sm4YSc4 (PBE, Alexandria via LeMat-Bulk).

Structure (POSCAR):
```
Sm4YSc4
1.0
-5.1980 5.1980 2.4328
5.1980 -5.1980 2.4328
5.1980 5.1980 -2.4328
Sm Y Sc
4 1 4
Direct
0.0000 0.3278 0.3278
0.0000 0.6722 0.6722
0.3278 0.0000 0.3278
0.6722 0.0000 0.6722
0.0000 0.0000 0.0000
0.3335 0.3335 0.6669
0.3335 0.6665 0.0000
0.6665 0.3335 0.0000
0.6665 0.6665 0.3331
```

Output
ΔH_f (0 K) = 0.5 eV per formula unit
calculated volume = 262.9 Å³ per cell
total DFT energy (no corrections) = -5.569 eV per atom
space group = I4/mmm

# Sm3Y3Sc2

A relaxed structure of Sm3Y3Sc2 (PBE, Alexandria via LeMat-Bulk).

Structure (POSCAR):
```
Sm3Y3Sc2
1.0
4.9777 0.0000 0.0000
0.0000 5.0063 0.0000
0.0000 0.0000 9.8583
Sm Y Sc
3 3 2
Direct
0.0000 0.0000 0.0000
0.0000 0.0000 0.5000
0.5000 0.5000 0.0000
0.0000 0.5000 0.2499
0.0000 0.5000 0.7501
0.5000 0.5000 0.5000
0.5000 0.0000 0.2505
0.5000 0.0000 0.7495
```

Output
ΔH_f (0 K) = 0.4 eV per formula unit
calculated volume = 245.7 Å³ per cell
total DFT energy (no corrections) = -5.732 eV per atom
space group = Pmmm

no.,total magnetization (μB per formula unit)
1,0.00
2,0.00
3,0.00
4,0.00